(1)
Er2Cu2Ag: relaxed, PBE.

abc: 7.399 7.399 3.674
angles: 90.00 90.00 90.00
Atoms (fractional coordinates):
1 Er 0.176 0.324 0.000
2 Er 0.324 0.824 0.000
3 Er 0.676 0.176 0.000
4 Er 0.824 0.676 0.000
5 Cu 0.120 0.620 0.500
6 Cu 0.380 0.120 0.500
7 Cu 0.620 0.880 0.500
8 Cu 0.880 0.380 0.500
9 Ag 0.000 0.000 0.500
10 Ag 0.500 0.500 0.500

Output
Its formation energy is -286 meV per atom.



(2)
TlFeIr2: relaxed, PBE.

abc: 2.944 2.944 7.378
angles: 90.00 90.00 90.00
Atoms (fractional coordinates):
1 Tl 0.000 0.000 0.000
2 Fe 0.000 0.000 0.500
3 Ir 0.500 0.500 0.288
4 Ir 0.500 0.500 0.712

Output
Its formation energy is 304 meV per atom. The energy above the most stable polymorph in this dataset comes out at 0 meV per atom.



(3)
Y2GeAs: relaxed, PBE.

abc: 5.083 5.083 5.083
angles: 60.00 60.00 60.00
Atoms (fractional coordinates):
1 Y 0.250 0.250 0.250
2 Y 0.750 0.750 0.750
3 Ge 0.000 0.000 0.000
4 As 0.500 0.500 0.500

Output
Its formation energy is -778 meV per atom. The energy above the most stable polymorph in this dataset comes out at 435 meV per atom.



(4)
LiPu2Hg: relaxed, PBE.

abc: 3.527 3.527 5.613
angles: 90.00 90.00 90.00
Atoms (fractional coordinates):
1 Li 0.000 0.000 0.000
2 Pu 0.000 0.500 0.500
3 Pu 0.500 0.000 0.500
4 Hg 0.500 0.500 0.000

Output
Its formation energy is 350 meV per atom.



(5)
Ac2CeMnN5: relaxed, PBE.

abc: 7.528 7.528 7.528
angles: 124.04 124.04 83.13
Atoms (fractional coordinates):
1 Ac 0.175 0.675 0.850
2 Ac 0.325 0.175 0.500
3 Ac 0.675 0.825 0.500
4 Ac 0.825 0.325 0.150
5 Ce 0.250 0.250 0.000
6 Ce 0.750 0.750 0.000
7 Mn 0.250 0.750 0.500
8 Mn 0.750 0.250 0.500
9 N 0.000 0.000 0.000
10 N 0.018 0.800 0.500
11 N 0.200 0.700 0.218
12 N 0.300 0.518 0.500
13 N 0.482 0.982 0.782
14 N 0.500 0.500 0.000
15 N 0.518 0.018 0.218
16 N 0.700 0.482 0.500
17 N 0.800 0.300 0.782
18 N 0.982 0.200 0.500

Output
For the energy relative to the elements, uncorrected, the calculation gives -0.897 eV per atom.



(6)
ZnSb2Ru2: relaxed, PBE.

abc: 7.808 7.808 3.031
angles: 90.00 90.00 90.00
Atoms (fractional coordinates):
1 Zn 0.000 0.000 0.000
2 Zn 0.500 0.500 0.000
3 Sb 0.153 0.347 0.000
4 Sb 0.347 0.847 0.000
5 Sb 0.653 0.153 0.000
6 Sb 0.847 0.653 0.000
7 Ru 0.139 0.639 0.500
8 Ru 0.361 0.139 0.500
9 Ru 0.639 0.861 0.500
10 Ru 0.861 0.361 0.500

Output
The energy above the most stable polymorph in this dataset comes out at 154 meV per atom. For the energy relative to the elements, uncorrected, the calculation gives 0.221 eV per atom.



(7)
YLuInAg: relaxed, PBE.

abc: 5.202 5.202 5.202
angles: 60.00 60.00 60.00
Atoms (fractional coordinates):
1 Y 0.000 0.000 0.000
2 Lu 0.500 0.500 0.500
3 In 0.750 0.750 0.750
4 Ag 0.250 0.250 0.250

Output
Its formation energy is -406 meV per atom.



(8)
BaMoIr2: relaxed, PBE.

abc: 5.202 5.202 2.981
angles: 90.00 90.00 104.56
Atoms (fractional coordinates):
1 Ba 0.000 0.000 0.000
2 Mo 0.500 0.500 0.000
3 Ir 0.000 0.500 0.500
4 Ir 0.500 0.000 0.500

Output
Its formation energy is 828 meV per atom. The energy above the most stable polymorph in this dataset comes out at 740 meV per atom.